VASP calculation (GGA-PBE) on a relaxed CaAcSm crystal.

abc: 3.785 3.785 19.631
angles: 90.00 90.00 120.00
Sites, in units of the cell vectors:
Ca 0.333 0.667 0.000
Ca 0.667 0.333 0.500
Ac 0.000 0.000 0.330
Ac 0.000 0.000 0.830
Sm 0.333 0.667 0.179
Sm 0.667 0.333 0.679

Calculated values
volume	40.60	Å³ per atom
SG	P6_3mc, No. 186
E above lowest polymorph	87	meV/atom
crystal system	hexagonal